## Ba2SrCu (SCAN)

Data for a PBEsol-optimized structure of Ba2SrCu.

Results
ΔE to the lowest computed polymorph = 0.04 eV/f.u.
density = 4.394 g/cm³
ΔH_f (0 K) = 0.06 eV/atom
magnetic moment = 0.004 μB per formula unit

```
Ba2SrCu
1.0
3.931 0.000 0.000
0.000 3.931 0.000
0.000 0.000 10.413
Ba Sr Cu
2 1 1
Direct
0.000 0.000 0.000
0.500 0.500 0.335
0.000 0.000 0.656
0.500 0.500 0.819
```